No. 1
HfCrFe2H: relaxed, PBE.

Properties
crystal system	tetragonal
electronic total energy	-7.92	eV per atom

Cell: 3.9753 3.9753 3.5695 Å, 90.00 90.00 90.00°
Fractional coordinates of all 5 atoms:
Hf 0.0000 0.0000 0.0000
Cr 0.5000 0.5000 0.0000
Fe 0.0000 0.5000 0.5000
Fe 0.5000 0.0000 0.5000
H 0.5000 0.5000 0.5000

No. 2
Hf2CrFeH: relaxed, PBE.

Properties
crystal system	tetragonal
electronic total energy	-8.39	eV per atom

Cell: 4.5013 4.5013 3.3013 Å, 90.00 90.00 90.00°
Fractional coordinates of all 5 atoms:
Hf 0.0000 0.5000 0.0000
Hf 0.5000 0.0000 0.0000
Cr 0.0000 0.0000 0.5000
Fe 0.5000 0.5000 0.5000
H 0.5000 0.5000 0.0000

No. 3
Cr2FeHgH: relaxed, PBE.

Properties
crystal system	tetragonal
electronic total energy	-5.27	eV per atom

Cell: 4.5197 4.5197 3.0885 Å, 90.00 90.00 90.00°
Fractional coordinates of all 5 atoms:
Cr 0.0000 0.5000 0.0000
Cr 0.5000 0.0000 0.0000
Fe 0.0000 0.0000 0.0000
Hg 0.5000 0.5000 0.5000
H 0.0000 0.0000 0.5000

No. 4
CrFe2HIr: relaxed, PBE.

Properties
crystal system	tetragonal
offset from the most stable computed form	0	meV/atom

Cell: 3.6775 3.6775 3.7922 Å, 90.00 90.00 90.00°
Fractional coordinates of all 5 atoms:
Cr 0.0000 0.0000 0.0000
Fe 0.0000 0.5000 0.5000
Fe 0.5000 0.0000 0.5000
H 0.0000 0.0000 0.5000
Ir 0.5000 0.5000 0.0000

No. 5
CrFe2HIr: relaxed, PBE.

Properties
crystal system	tetragonal
offset from the most stable computed form	27	meV/atom

Cell: 3.7356 3.7356 3.7896 Å, 90.00 90.00 90.00°
Fractional coordinates of all 5 atoms:
Cr 0.0000 0.0000 0.0000
Fe 0.0000 0.5000 0.5000
Fe 0.5000 0.0000 0.5000
H 0.5000 0.5000 0.5000
Ir 0.5000 0.5000 0.0000

No. 6
Cr2FeHIr: relaxed, PBE.

Properties
crystal system	tetragonal
offset from the most stable computed form	0	meV/atom

Cell: 3.7077 3.7077 3.6359 Å, 90.00 90.00 90.00°
Fractional coordinates of all 5 atoms:
Cr 0.0000 0.5000 0.0000
Cr 0.5000 0.0000 0.0000
Fe 0.0000 0.0000 0.5000
H 0.0000 0.0000 0.0000
Ir 0.5000 0.5000 0.5000